VASP calculation (GGA+U) on a geometry-optimized VOF2 structure.

Cell: 5.0488 5.1737 8.4858 Å, 93.49 90.00 90.00°
Closest atoms and distances in Å follow each position.
Fractional positions:
V1 0.9778 0.2334 0.3915  1 O 1.70
V2 0.0222 0.7666 0.6085  1 O 1.70
V3 0.4778 0.2666 0.1085  1 O 1.70
V4 0.5222 0.7334 0.8915  1 O 1.70
O1 0.7559 0.6476 0.7545  1 V 1.70
O2 0.2441 0.3524 0.2455  1 V 1.70
O3 0.2559 0.8524 0.7455  1 V 1.70
O4 0.7441 0.1476 0.2545  1 V 1.70
F1 0.3067 0.9225 0.0632  2 V 1.99-2.02
F2 0.6933 0.0775 0.9368  2 V 1.99-2.02
F3 0.8067 0.5775 0.4368  2 V 1.99-2.02
F4 0.1933 0.4225 0.5632  2 V 1.99-2.02
F5 0.3077 0.4247 0.9222  2 V 1.96-2.02
F6 0.6923 0.5753 0.0778  2 V 1.96-2.02
F7 0.8077 0.0753 0.5778  2 V 1.96-2.02
F8 0.1923 0.9247 0.4222  2 V 1.96-2.02

Symmetry: No. 14
DFT total energy: -6.48 eV/atom